1.
# AuBr

A PBEsol-optimized structure of AuBr (SCAN, the Alexandria database).

The structure in CIF format:
```
data_AuBr
_space_group_name_H-M_alt 'C m m e'
_space_group_IT_number 67
_space_group_name_Hall '-C 2a 2'
_cell_length_a 3.646
_cell_length_b 6.824
_cell_length_c 8.369
_cell_angle_alpha 90.00
_cell_angle_beta 90.00
_cell_angle_gamma 90.00
loop_
_atom_site_label
_atom_site_type_symbol
_atom_site_fract_x
_atom_site_fract_y
_atom_site_fract_z
_atom_site_occupancy
Au1 Au 0.000 0.250 0.109 1
Br1 Br 0.000 0.250 0.685 1
```

Summary:
ΔE_f (raw) = -0.11 eV per atom

2.
# AuBr3

A PBEsol-optimized structure of AuBr3 (SCAN, the Alexandria database).

The structure in CIF format:
```
data_AuBr3
_space_group_name_H-M_alt 'I m -3 m'
_space_group_IT_number 229
_space_group_name_Hall '-I 4 2 3'
_cell_length_a 5.812
_cell_length_b 5.812
_cell_length_c 5.812
_cell_angle_alpha 90.00
_cell_angle_beta 90.00
_cell_angle_gamma 90.00
loop_
_atom_site_label
_atom_site_type_symbol
_atom_site_fract_x
_atom_site_fract_y
_atom_site_fract_z
_atom_site_occupancy
Au1 Au 0.000 0.000 0.000 1
Br1 Br 0.000 0.000 0.500 1
```

Summary:
ΔE_f (raw) = 0.48 eV per atom
N(E_F) = 0.7356 states/eV per atom

3.
# AuBr2

A PBEsol-optimized structure of AuBr2 (SCAN, the Alexandria database).

The structure in CIF format:
```
data_AuBr2
_space_group_name_H-M_alt 'C m c m'
_space_group_IT_number 63
_space_group_name_Hall '-C 2c 2'
_cell_length_a 3.794
_cell_length_b 12.185
_cell_length_c 7.259
_cell_angle_alpha 90.00
_cell_angle_beta 90.00
_cell_angle_gamma 90.00
loop_
_atom_site_label
_atom_site_type_symbol
_atom_site_fract_x
_atom_site_fract_y
_atom_site_fract_z
_atom_site_occupancy
Au1 Au 0.000 0.210 0.250 1
Br1 Br 0.000 0.150 0.750 1
Br2 Br 0.000 0.430 0.750 1
```

Summary:
ΔE_f (raw) = -0.08 eV per atom
N(E_F) = 0.5712 states/eV per atom

4.
# AuBr3

A PBEsol-optimized structure of AuBr3 (SCAN, the Alexandria database).

The structure in CIF format:
```
data_AuBr3
_space_group_name_H-M_alt 'P 1 21/c 1'
_space_group_IT_number 14
_cell_length_a 6.512
_cell_length_b 20.286
_cell_length_c 8.267
_cell_angle_alpha 90.00
_cell_angle_beta 118.37
_cell_angle_gamma 90.00
loop_
_space_group_symop_operation_xyz
'x,y,z'
'-x,-y,-z'
'-x,y+1/2,-z+1/2'
'x,-y+1/2,z+1/2'
loop_
_atom_site_label
_atom_site_type_symbol
_atom_site_fract_x
_atom_site_fract_y
_atom_site_fract_z
_atom_site_occupancy
Au1 Au 0.112 0.211 0.282 1
Au2 Au 0.234 0.037 0.259 1
Br1 Br 0.028 0.566 0.727 1
Br2 Br 0.085 0.604 0.241 1
Br3 Br 0.211 0.732 0.711 1
Br4 Br 0.304 0.185 0.788 1
Br5 Br 0.438 0.144 0.296 1
Br6 Br 0.444 0.022 0.744 1
```

Summary:
ΔE_f (raw) = -0.17 eV per atom

5.
# AuBr2

A PBEsol-optimized structure of AuBr2 (SCAN, the Alexandria database).

The structure in CIF format:
```
data_AuBr2
_space_group_name_H-M_alt 'P n n m'
_space_group_IT_number 58
_cell_length_a 6.650
_cell_length_b 7.236
_cell_length_c 3.765
_cell_angle_alpha 90.00
_cell_angle_beta 90.00
_cell_angle_gamma 90.00
loop_
_space_group_symop_operation_xyz
'x,y,z'
'-x,-y,-z'
'-x,-y,z'
'x,y,-z'
'x+1/2,-y+1/2,-z+1/2'
'-x+1/2,y+1/2,z+1/2'
'-x+1/2,y+1/2,-z+1/2'
'x+1/2,-y+1/2,z+1/2'
loop_
_atom_site_label
_atom_site_type_symbol
_atom_site_fract_x
_atom_site_fract_y
_atom_site_fract_z
_atom_site_occupancy
Au1 Au 0.000 0.000 0.000 1
Br1 Br 0.199 0.153 0.500 1
```

Summary:
ΔE_f (raw) = -0.09 eV per atom
N(E_F) = 0.1215 states/eV per atom

6.
# AuBr

A PBEsol-optimized structure of AuBr (SCAN, the Alexandria database).

The structure in CIF format:
```
data_AuBr
_space_group_name_H-M_alt 'C 1 m 1'
_space_group_IT_number 8
_cell_length_a 14.361
_cell_length_b 3.666
_cell_length_c 7.457
_cell_angle_alpha 90.00
_cell_angle_beta 120.88
_cell_angle_gamma 90.00
loop_
_space_group_symop_operation_xyz
'x,y,z'
'x,-y,z'
'x+1/2,y+1/2,z'
'x+1/2,-y+1/2,z'
loop_
_atom_site_label
_atom_site_type_symbol
_atom_site_fract_x
_atom_site_fract_y
_atom_site_fract_z
_atom_site_occupancy
Au1 Au 0.000 0.000 0.000 1
Au2 Au 0.043 0.500 0.785 1
Au3 Au 0.382 0.500 0.574 1
Br1 Br 0.156 0.000 0.756 1
Br2 Br 0.251 0.000 0.353 1
Br3 Br 0.474 0.000 0.205 1
```

Summary:
ΔE_f (raw) = -0.03 eV per atom
N(E_F) = 0.4145 states/eV per atom

7.
# AuBr

A PBEsol-optimized structure of AuBr (SCAN, the Alexandria database).

The structure in CIF format:
```
data_AuBr
_space_group_name_H-M_alt 'P 42/n c m'
_space_group_IT_number 138
_cell_length_a 4.112
_cell_length_b 4.112
_cell_length_c 12.974
_cell_angle_alpha 90.00
_cell_angle_beta 90.00
_cell_angle_gamma 90.00
loop_
_space_group_symop_operation_xyz
'x,y,z'
'-x,-y,-z'
'-y+1/2,x,z+1/2'
'y+1/2,-x,-z+1/2'
'-x+1/2,-y+1/2,z'
'x+1/2,y+1/2,-z'
'y,-x+1/2,z+1/2'
'-y,x+1/2,-z+1/2'
'x+1/2,-y,-z+1/2'
'-x+1/2,y,z+1/2'
'-y,-x,-z'
'y,x,z'
'-x,y+1/2,-z+1/2'
'x,-y+1/2,z+1/2'
'y+1/2,x+1/2,-z'
'-y+1/2,-x+1/2,z'
loop_
_atom_site_label
_atom_site_type_symbol
_atom_site_fract_x
_atom_site_fract_y
_atom_site_fract_z
_atom_site_occupancy
Au1 Au 0.000 0.000 0.000 1
Br1 Br 0.250 0.250 0.154 1
```

Summary:
ΔE_f (raw) = -0.11 eV per atom
N(E_F) = 0.0000 states/eV per atom

8.
# AuCBr2

A PBEsol-optimized structure of AuCBr2 (SCAN, the Alexandria database).

The structure in CIF format:
```
data_AuCBr2
_space_group_name_H-M_alt 'I -4 2 d'
_space_group_IT_number 122
_space_group_name_Hall 'I -4 2bw'
_cell_length_a 5.297
_cell_length_b 5.297
_cell_length_c 12.862
_cell_angle_alpha 90.00
_cell_angle_beta 90.00
_cell_angle_gamma 90.00
loop_
_atom_site_label
_atom_site_type_symbol
_atom_site_fract_x
_atom_site_fract_y
_atom_site_fract_z
_atom_site_occupancy
Au1 Au 0.000 0.000 0.000 1
C1 C 0.000 0.000 0.500 1
Br1 Br 0.184 0.250 0.625 1
```

Summary:
ΔE_f (raw) = 1.58 eV per atom
N(E_F) = 0.3929 states/eV per atom

9.
# AuCSe2Br

A PBEsol-optimized structure of AuCSe2Br (SCAN, the Alexandria database).

The structure in CIF format:
```
data_AuCSe2Br
_space_group_name_H-M_alt 'P 4/m m m'
_space_group_IT_number 123
_space_group_name_Hall '-P 4 2'
_cell_length_a 4.033
_cell_length_b 4.033
_cell_length_c 6.903
_cell_angle_alpha 90.00
_cell_angle_beta 90.00
_cell_angle_gamma 90.00
loop_
_atom_site_label
_atom_site_type_symbol
_atom_site_fract_x
_atom_site_fract_y
_atom_site_fract_z
_atom_site_occupancy
Au1 Au 0.000 0.000 0.000 1
C1 C 0.500 0.500 0.500 1
Se1 Se 0.000 0.500 0.500 1
Br1 Br 0.500 0.500 0.000 1
```

Summary:
ΔE_f (raw) = 1.20 eV per atom
N(E_F) = 0.4714 states/eV per atom

10.
# CaAu3Br

A PBEsol-optimized structure of CaAu3Br (SCAN, the Alexandria database).

The structure in CIF format:
```
data_CaAu3Br
_space_group_name_H-M_alt 'P m -3 m'
_space_group_IT_number 221
_space_group_name_Hall '-P 4 2 3'
_cell_length_a 5.071
_cell_length_b 5.071
_cell_length_c 5.071
_cell_angle_alpha 90.00
_cell_angle_beta 90.00
_cell_angle_gamma 90.00
loop_
_atom_site_label
_atom_site_type_symbol
_atom_site_fract_x
_atom_site_fract_y
_atom_site_fract_z
_atom_site_occupancy
Ca1 Ca 0.000 0.000 0.000 1
Au1 Au 0.000 0.500 0.500 1
Br1 Br 0.500 0.500 0.500 1
```

Summary:
ΔE_f (raw) = 0.39 eV per atom
N(E_F) = 0.7173 states/eV per atom

11.
# CaAu2SBr

A PBEsol-optimized structure of CaAu2SBr (SCAN, the Alexandria database).

The structure in CIF format:
```
data_CaAu2SBr
_space_group_name_H-M_alt 'P 4/m m m'
_space_group_IT_number 123
_space_group_name_Hall '-P 4 2'
_cell_length_a 5.449
_cell_length_b 5.449
_cell_length_c 5.248
_cell_angle_alpha 90.00
_cell_angle_beta 90.00
_cell_angle_gamma 90.00
loop_
_atom_site_label
_atom_site_type_symbol
_atom_site_fract_x
_atom_site_fract_y
_atom_site_fract_z
_atom_site_occupancy
Ca1 Ca 0.000 0.000 0.000 1
Au1 Au 0.000 0.500 0.000 1
S1 S 0.500 0.500 0.500 1
Br1 Br 0.000 0.000 0.500 1
```

Summary:
ΔE_f (raw) = 0.47 eV per atom
N(E_F) = 0.9531 states/eV per atom

12.
# Ca2AuSeBr

A PBEsol-optimized structure of Ca2AuSeBr (SCAN, the Alexandria database).

The structure in CIF format:
```
data_Ca2AuSeBr
_space_group_name_H-M_alt 'P 4/m m m'
_space_group_IT_number 123
_space_group_name_Hall '-P 4 2'
_cell_length_a 5.444
_cell_length_b 5.444
_cell_length_c 5.445
_cell_angle_alpha 90.00
_cell_angle_beta 90.00
_cell_angle_gamma 90.00
loop_
_atom_site_label
_atom_site_type_symbol
_atom_site_fract_x
_atom_site_fract_y
_atom_site_fract_z
_atom_site_occupancy
Ca1 Ca 0.000 0.500 0.000 1
Au1 Au 0.000 0.000 0.500 1
Se1 Se 0.500 0.500 0.000 1
Br1 Br 0.500 0.500 0.500 1
```

Summary:
ΔE_f (raw) = -0.68 eV per atom
N(E_F) = 0.3431 states/eV per atom

13.
# CdAu2Br

A PBEsol-optimized structure of CdAu2Br (SCAN, the Alexandria database).

The structure in CIF format:
```
data_CdAu2Br
_space_group_name_H-M_alt 'P 4/m m m'
_space_group_IT_number 123
_space_group_name_Hall '-P 4 2'
_cell_length_a 3.712
_cell_length_b 3.712
_cell_length_c 5.791
_cell_angle_alpha 90.00
_cell_angle_beta 90.00
_cell_angle_gamma 90.00
loop_
_atom_site_label
_atom_site_type_symbol
_atom_site_fract_x
_atom_site_fract_y
_atom_site_fract_z
_atom_site_occupancy
Cd1 Cd 0.000 0.000 0.000 1
Au1 Au 0.500 0.500 0.234 1
Br1 Br 0.000 0.000 0.500 1
```

Summary:
ΔE_f (raw) = 0.09 eV per atom
N(E_F) = 0.3160 states/eV per atom

no.,total magnetic moment (μB/f.u.)
1,0.0
2,0.0
3,0.4
4,0.0
5,1.0
6,0.0
7,0.0
8,0.0
9,0.0
10,0.0
11,2.7
12,0.0
13,0.0